[1]
A geometry-optimized In4P3 structure. Source: Alexandria via LeMat-Bulk, functional PBE.

Values from the calculation:
E	-25.02	eV per cell
total magnetization	0.00	μB/cell
energy of formation from the pure elements	2.16	eV per formula unit
calculated volume	155	Å³/f.u.
crystal system	hexagonal

a b c (Å): 5.321 5.321 6.335
angles (deg): 90.00 90.00 120.00
Positions (direct):
In 0.333 0.667 0.500
In 0.667 0.333 0.500
In 0.000 0.000 0.249
In 0.000 0.000 0.751
P 0.500 0.500 0.000
P 0.000 0.500 0.000
P 0.500 0.000 0.000



[2]
A geometry-optimized InP2 structure. Source: Alexandria via LeMat-Bulk, functional PBE.

Values from the calculation:
E	-11.69	eV per cell
total magnetization	0.00	μB/cell
energy of formation from the pure elements	1.87	eV per formula unit
calculated volume	66	Å³/f.u.
crystal system	cubic

a b c (Å): 4.543 4.543 4.543
angles (deg): 60.00 60.00 60.00
Positions (direct):
In 0.000 0.000 0.000
P 0.750 0.750 0.750
P 0.250 0.250 0.250



[3]
A geometry-optimized InP5 structure. Source: Alexandria via LeMat-Bulk, functional PBE.

Values from the calculation:
E	-27.30	eV per cell
total magnetization	0.00	μB/cell
energy of formation from the pure elements	2.49	eV per formula unit
ΔE to the lowest computed polymorph	193	meV per atom
calculated volume	110	Å³/f.u.
crystal system	hexagonal

a b c (Å): 6.343 6.343 3.167
angles (deg): 90.00 90.00 120.00
Positions (direct):
In 0.000 0.000 0.000
P 0.000 0.500 0.500
P 0.500 0.000 0.500
P 0.667 0.333 0.000
P 0.500 0.500 0.500
P 0.333 0.667 0.000



[4]
A geometry-optimized InP3 structure. Source: Alexandria via LeMat-Bulk, functional PBE.

Values from the calculation:
E	-16.08	eV per cell
total magnetization	0.00	μB/cell
energy of formation from the pure elements	2.89	eV per formula unit
calculated volume	71	Å³/f.u.
crystal system	cubic

a b c (Å): 4.142 4.142 4.142
angles (deg): 90.00 90.00 90.00
Positions (direct):
In 0.000 0.000 0.000
P 0.500 0.000 0.500
P 0.500 0.500 0.000
P 0.000 0.500 0.500



[5]
A geometry-optimized InP2 structure. Source: Alexandria via LeMat-Bulk, functional PBE.

Values from the calculation:
E	-26.00	eV per cell
total magnetization	0.00	μB/cell
energy of formation from the pure elements	0.56	eV per formula unit
calculated volume	64	Å³/f.u.
crystal system	orthorhombic

a b c (Å): 11.184 11.184 3.287
angles (deg): 90.00 90.00 161.83
Positions (direct):
In 0.132 0.868 0.750
In 0.868 0.132 0.250
P 0.532 0.468 0.250
P 0.468 0.532 0.750
P 0.742 0.258 0.750
P 0.258 0.742 0.250



[6]
A geometry-optimized InP5 structure. Source: Alexandria via LeMat-Bulk, functional PBE.

Values from the calculation:
E	-26.07	eV per cell
total magnetization	0.00	μB/cell
energy of formation from the pure elements	3.72	eV per formula unit
ΔE to the lowest computed polymorph	398	meV per atom
calculated volume	131	Å³/f.u.
crystal system	cubic

a b c (Å): 5.706 5.706 5.706
angles (deg): 60.00 60.00 60.00
Positions (direct):
P 0.250 0.250 0.250
P 0.598 0.207 0.598
P 0.598 0.598 0.207
P 0.207 0.598 0.598
P 0.598 0.598 0.598
In 0.000 0.000 0.000



[7]
A geometry-optimized InP2 structure. Source: Alexandria via LeMat-Bulk, functional PBE.

Values from the calculation:
E	-49.87	eV per cell
total magnetization	0.00	μB/cell
energy of formation from the pure elements	1.09	eV per formula unit
calculated volume	69	Å³/f.u.
crystal system	hexagonal

a b c (Å): 5.669 5.669 9.848
angles (deg): 90.00 90.00 120.00
Positions (direct):
P 0.128 0.256 0.750
P 0.872 0.744 0.250
P 0.000 0.000 0.000
P 0.872 0.128 0.250
P 0.128 0.872 0.750
P 0.256 0.128 0.250
P 0.000 0.000 0.500
P 0.744 0.872 0.750
In 0.667 0.333 0.510
In 0.667 0.333 0.990
In 0.333 0.667 0.010
In 0.333 0.667 0.490



[8]
A geometry-optimized InP2 structure. Source: Alexandria via LeMat-Bulk, functional PBE.

Values from the calculation:
E	-13.36	eV per cell
total magnetization	0.00	μB/cell
energy of formation from the pure elements	0.20	eV per formula unit
calculated volume	65	Å³/f.u.
crystal system	trigonal

a b c (Å): 3.284 3.284 6.937
angles (deg): 90.00 90.00 120.00
Positions (direct):
P 0.333 0.667 0.410
P 0.667 0.333 0.590
In 0.000 0.000 0.000



[9]
A geometry-optimized InP2 structure. Source: Alexandria via LeMat-Bulk, functional PBE.

Values from the calculation:
E	-38.92	eV per cell
total magnetization	0.00	μB/cell
energy of formation from the pure elements	0.58	eV per formula unit
calculated volume	85	Å³/f.u.
crystal system	hexagonal

a b c (Å): 9.544 9.544 3.245
angles (deg): 90.00 90.00 120.00
Positions (direct):
P 0.464 0.464 0.000
P 0.314 0.314 0.500
P 0.000 0.536 0.000
P 0.000 0.686 0.500
P 0.686 0.000 0.500
P 0.536 0.000 0.000
In 0.333 0.667 0.000
In 0.667 0.333 0.000
In 0.000 0.000 0.500



[10]
A geometry-optimized InP3 structure. Source: Alexandria via LeMat-Bulk, functional PBE.

Values from the calculation:
E	-16.81	eV per cell
total magnetization	0.00	μB/cell
energy of formation from the pure elements	2.16	eV per formula unit
calculated volume	73	Å³/f.u.
crystal system	orthorhombic

a b c (Å): 3.096 3.096 8.596
angles (deg): 90.00 90.00 117.04
Positions (direct):
P 0.500 0.500 0.304
P 0.500 0.500 0.696
P 0.000 0.000 0.500
In 0.000 0.000 0.000



[11]
A geometry-optimized InP3 structure. Source: Alexandria via LeMat-Bulk, functional PBE.

Values from the calculation:
E	-31.52	eV per cell
total magnetization	0.00	μB/cell
energy of formation from the pure elements	3.21	eV per formula unit
calculated volume	71	Å³/f.u.
crystal system	cubic

a b c (Å): 5.224 5.224 5.224
angles (deg): 90.00 90.00 90.00
Positions (direct):
P 0.000 0.750 0.500
P 0.750 0.500 0.000
P 0.500 0.000 0.250
P 0.000 0.250 0.500
P 0.250 0.500 0.000
P 0.500 0.000 0.750
In 0.000 0.000 0.000
In 0.500 0.500 0.500



[12]
A geometry-optimized InP2 structure. Source: Alexandria via LeMat-Bulk, functional PBE.

Values from the calculation:
E	-26.89	eV per cell
total magnetization	0.00	μB/cell
energy of formation from the pure elements	0.11	eV per formula unit
calculated volume	67	Å³/f.u.
crystal system	orthorhombic

a b c (Å): 3.963 5.157 6.513
angles (deg): 90.00 90.00 90.00
Positions (direct):
P 0.000 0.841 0.400
P 0.500 0.341 0.100
P 0.000 0.159 0.600
P 0.500 0.659 0.900
In 0.500 0.500 0.500
In 0.000 0.000 0.000



[13]
A geometry-optimized InP3 structure. Source: Alexandria via LeMat-Bulk, functional PBE.

Values from the calculation:
E	-16.33	eV per cell
total magnetization	0.00	μB/cell
energy of formation from the pure elements	2.64	eV per formula unit
calculated volume	69	Å³/f.u.
crystal system	tetragonal

a b c (Å): 4.571 4.571 3.325
angles (deg): 90.00 90.00 90.00
Positions (direct):
In 0.000 0.000 0.000
P 0.000 0.500 0.500
P 0.500 0.000 0.500
P 0.500 0.500 0.000



[14]
A geometry-optimized InP3 structure. Source: Alexandria via LeMat-Bulk, functional PBE.

Values from the calculation:
E	-17.10	eV per cell
total magnetization	0.00	μB/cell
energy of formation from the pure elements	1.87	eV per formula unit
calculated volume	77	Å³/f.u.
crystal system	tetragonal

a b c (Å): 3.399 3.399 6.651
angles (deg): 90.00 90.00 90.00
Positions (direct):
P 0.500 0.500 0.666
P 0.500 0.500 0.334
P 0.000 0.000 0.500
In 0.000 0.000 0.000



[15]
A geometry-optimized In3P structure. Source: Alexandria via LeMat-Bulk, functional PBE.

Values from the calculation:
E	-12.58	eV per cell
total magnetization	0.00	μB/cell
energy of formation from the pure elements	1.05	eV per formula unit
calculated volume	98	Å³/f.u.
crystal system	trigonal

a b c (Å): 5.714 5.714 5.714
angles (deg): 115.68 115.68 115.68
Positions (direct):
In 0.500 0.000 0.500
In 0.000 0.000 0.000
In 0.500 0.500 0.000
P 0.000 0.500 0.500



[16]
A geometry-optimized In3P structure. Source: Alexandria via LeMat-Bulk, functional PBE.

Values from the calculation:
E	-25.53	eV per cell
total magnetization	0.00	μB/cell
energy of formation from the pure elements	0.86	eV per formula unit
calculated volume	98	Å³/f.u.
crystal system	tetragonal

a b c (Å): 10.637 10.637 10.637
angles (deg): 156.25 156.25 33.84
Positions (direct):
In 0.750 0.250 0.500
In 0.500 0.000 0.500
In 0.872 0.872 0.000
In 0.250 0.750 0.500
In 0.128 0.128 0.000
In 0.000 0.500 0.500
P 0.393 0.393 0.000
P 0.607 0.607 0.000



[17]
A geometry-optimized InP8 structure. Source: Alexandria via LeMat-Bulk, functional PBE.

Values from the calculation:
E	-42.19	eV per cell
total magnetization	0.00	μB/cell
energy of formation from the pure elements	3.83	eV per formula unit
calculated volume	175	Å³/f.u.
crystal system	tetragonal

a b c (Å): 6.795 6.795 6.795
angles (deg): 95.46 95.46 144.08
Positions (direct):
P 0.790 0.790 0.581
P 0.210 0.790 0.000
P 0.210 0.210 0.419
P 0.000 0.375 0.375
P 0.375 0.000 0.375
P 0.000 0.625 0.625
P 0.625 0.000 0.625
P 0.790 0.210 0.000
In 0.000 0.000 0.000



[18]
A geometry-optimized In3P structure. Source: Alexandria via LeMat-Bulk, functional PBE.

Values from the calculation:
E	-13.49	eV per cell
total magnetization	0.00	μB/cell
energy of formation from the pure elements	0.13	eV per formula unit
calculated volume	103	Å³/f.u.
crystal system	hexagonal

a b c (Å): 3.890 3.890 7.896
angles (deg): 90.00 90.00 120.00
Positions (direct):
In 0.000 0.000 0.545
In 0.000 0.000 0.955
In 0.667 0.333 0.250
P 0.667 0.333 0.750



[19]
A geometry-optimized In3P4 structure. Source: Alexandria via LeMat-Bulk, functional PBE.

Values from the calculation:
E	-27.03	eV per cell
total magnetization	0.00	μB/cell
energy of formation from the pure elements	2.82	eV per formula unit
ΔE to the lowest computed polymorph	204	meV per atom
calculated volume	168	Å³/f.u.
crystal system	hexagonal

a b c (Å): 6.859 6.859 4.116
angles (deg): 90.00 90.00 120.00
Positions (direct):
In 0.500 0.000 0.000
In 0.000 0.500 0.000
In 0.500 0.500 0.000
P 0.000 0.000 0.747
P 0.000 0.000 0.253
P 0.333 0.667 0.500
P 0.667 0.333 0.500



[20]
A geometry-optimized In3P2 structure. Source: Alexandria via LeMat-Bulk, functional PBE.

Values from the calculation:
E	-19.16	eV per cell
total magnetization	0.00	μB/cell
energy of formation from the pure elements	-0.12	eV per formula unit
ΔE to the lowest computed polymorph	0	meV per atom
calculated volume	115	Å³/f.u.
crystal system	trigonal

a b c (Å): 8.753 8.753 8.753
angles (deg): 26.13 26.13 26.13
Positions (direct):
P 0.603 0.603 0.603
P 0.397 0.397 0.397
In 0.788 0.788 0.788
In 0.000 0.000 0.000
In 0.212 0.212 0.212